# Li4Ac2AgGe3 (PBE-GGA, relaxed)
data_Li4Ac2AgGe3
_space_group_name_H-M_alt 'P 1'
_space_group_IT_number 1
_cell_length_a 4.530
_cell_length_b 4.530
_cell_length_c 10.385
_cell_angle_alpha 90.00
_cell_angle_beta 90.00
_cell_angle_gamma 90.00
loop_
_space_group_symop_operation_xyz
'x,y,z'
loop_
_atom_site_label
_atom_site_type_symbol
_atom_site_fract_x
_atom_site_fract_y
_atom_site_fract_z
_atom_site_occupancy
Li1 Li 0.000 0.000 0.000 1
Li2 Li 0.000 0.500 0.379 1
Li3 Li 0.500 0.000 0.621 1
Li4 Li 0.500 0.500 0.000 1
Ac1 Ac 0.000 0.500 0.759 1
Ac2 Ac 0.500 0.000 0.241 1
Ag1 Ag 0.500 0.500 0.500 1
Ge1 Ge 0.000 0.000 0.500 1
Ge2 Ge 0.000 0.500 0.133 1
Ge3 Ge 0.500 0.000 0.867 1
# VASP energy = -3.716 eV per atom